Entry 1:
An optimized crystal structure of P2S, computed with PBE.

Calculated values
Volume ... 16.3 A^3/atom
Formation energy (no corrections) ... 243 meV/atom
SG ... I4_1/amd (141)
Energy relative to the lowest polymorph listed for this composition ... 0.65 eV/f.u.
Energy ... -4.739 eV/atom

Cell: 5.133 5.133 5.133 Å, 102.17 102.17 125.33°
Fractional positions:
P  0.000  0.000  0.000
P  0.000  0.000  0.500
P  0.000  0.500  0.000
P  0.500  0.000  0.500
S  0.375  0.625  0.750
S  0.625  0.375  0.250

Entry 2:
An optimized crystal structure of CaY2TiNb, computed with PBE.

Calculated values
Volume ... 28.0 A^3/atom
SG ... P4/mmm (123)
Energy ... -4.944 eV/atom
Energy of formation ... 1.635 eV per atom

Cell: 5.369 5.369 4.856 Å, 90.00 90.00 90.00°
Fractional positions:
Ca  0.000  0.000  0.000
Y  0.000  0.500  0.000
Y  0.500  0.000  0.000
Ti  0.500  0.500  0.500
Nb  0.000  0.000  0.500

Entry 3:
An optimized crystal structure of Te2W, computed with PBE.

Calculated values
Volume ... 26.6 A^3/atom
Formation energy (no corrections) ... 56 meV/atom
SG ... C2/m (12)
Energy ... -6.356 eV/atom

Cell: 7.027 7.027 8.377 Å, 124.40 124.40 28.37°
Fractional positions:
Te  0.074  0.074  0.255
Te  0.314  0.314  0.222
Te  0.686  0.686  0.778
Te  0.926  0.926  0.745
W  0.384  0.384  0.962
W  0.616  0.616  0.038

Entry 4:
An optimized crystal structure of YLuCo, computed with PBE.

Calculated values
Volume ... 23.1 A^3/atom
SG ... I4mm (107)
Energy relative to the lowest polymorph listed for this composition ... 0.00 eV/f.u.
Energy ... -6.179 eV/atom
Energy of formation ... -0.149 eV per atom

Cell: 6.653 6.653 6.653 Å, 150.96 150.96 41.54°
Fractional positions:
Y  0.000  0.000  0.000
Lu  0.258  0.258  0.000
Co  0.635  0.635  0.000

Entry 5:
An optimized crystal structure of Dy3Y8Tm4, computed with PBE.

Calculated values
Volume ... 32.4 A^3/atom
SG ... R-3m (166)
Energy relative to the lowest polymorph listed for this composition ... 0.00 eV/f.u.
Energy ... -5.393 eV/atom
Energy of formation ... 0.167 eV per atom

Cell: 12.367 12.367 12.367 Å, 32.51 32.51 32.51°
Fractional positions:
Dy  0.000  0.500  0.500
Dy  0.500  0.000  0.500
Dy  0.500  0.500  0.000
Y  0.251  0.251  0.749
Y  0.251  0.749  0.251
Y  0.251  0.749  0.749
Y  0.255  0.255  0.255
Y  0.745  0.745  0.745
Y  0.749  0.251  0.251
Y  0.749  0.251  0.749
Y  0.749  0.749  0.251
Tm  0.000  0.000  0.000
Tm  0.164  0.164  0.164
Tm  0.500  0.500  0.500
Tm  0.836  0.836  0.836

Entry 6:
An optimized crystal structure of In12Hg7Pb, computed with PBE.

Calculated values
Volume ... 27.4 A^3/atom
SG ... R-3 (148)
Energy relative to the lowest polymorph listed for this composition ... 0.07 eV/f.u.
Energy ... -1.897 eV/atom
Energy of formation ... 0.037 eV per atom

Cell: 8.699 8.699 8.699 Å, 107.06 107.06 107.06°
Fractional positions:
In  0.097  0.209  0.471
In  0.129  0.841  0.270
In  0.159  0.730  0.871
In  0.209  0.471  0.097
In  0.270  0.129  0.841
In  0.471  0.097  0.209
In  0.529  0.903  0.791
In  0.730  0.871  0.159
In  0.791  0.529  0.903
In  0.841  0.270  0.129
In  0.871  0.159  0.730
In  0.903  0.791  0.529
Hg  0.000  0.000  0.000
Hg  0.162  0.606  0.469
Hg  0.394  0.531  0.838
Hg  0.469  0.162  0.606
Hg  0.531  0.838  0.394
Hg  0.606  0.469  0.162
Hg  0.838  0.394  0.531
Pb  0.500  0.500  0.500

Entry 7:
An optimized crystal structure of MgBeCl, computed with PBE.

Calculated values
Volume ... 20.0 A^3/atom
Formation energy (no corrections) ... -524 meV/atom
SG ... Cm (8)
Energy relative to the lowest polymorph listed for this composition ... 0.11 eV/f.u.
Energy ... -2.913 eV/atom

Cell: 3.433 3.433 10.998 Å, 97.28 97.28 69.76°
Fractional positions:
Mg  0.000  0.000  0.000
Mg  0.680  0.680  0.395
Be  0.326  0.326  0.198
Be  0.704  0.704  0.169
Cl  0.080  0.080  0.522
Cl  0.604  0.604  0.866

Entry 8:
An optimized crystal structure of MnBe2Cr, computed with PBE.

Calculated values
Volume ... 9.8 A^3/atom
SG ... Pmmm (47)
Energy relative to the lowest polymorph listed for this composition ... 0.42 eV/f.u.
Energy ... -6.531 eV/atom
Energy of formation ... 0.030 eV per atom

Cell: 2.372 3.565 4.626 Å, 90.00 90.00 90.00°
Fractional positions:
Mn  0.000  0.000  0.000
Be  0.500  0.500  0.245
Be  0.500  0.500  0.755
Cr  0.000  0.000  0.500

Entry 9:
An optimized crystal structure of V2CrSe6, computed with PBE.

Calculated values
Volume ... 21.2 A^3/atom
Formation energy (no corrections) ... -475 meV/atom
SG ... P4_2/mnm (136)
Energy relative to the lowest polymorph listed for this composition ... 1.21 eV/f.u.
Energy ... -5.893 eV/atom

Cell: 5.958 5.958 10.725 Å, 90.00 90.00 90.00°
Fractional positions:
V  0.000  0.000  0.158
V  0.000  0.000  0.842
V  0.500  0.500  0.342
V  0.500  0.500  0.658
Cr  0.000  0.000  0.500
Cr  0.500  0.500  0.000
Se  0.197  0.197  0.330
Se  0.197  0.197  0.670
Se  0.207  0.207  0.000
Se  0.293  0.707  0.500
Se  0.303  0.697  0.170
Se  0.303  0.697  0.830
Se  0.697  0.303  0.170
Se  0.697  0.303  0.830
Se  0.707  0.293  0.500
Se  0.793  0.793  0.000
Se  0.803  0.803  0.330
Se  0.803  0.803  0.670

Entry 10:
An optimized crystal structure of Er12Pu3Tl5, computed with PBE.

Calculated values
Volume ... 35.9 A^3/atom
SG ... Ia-3d (230)
Energy ... -4.920 eV/atom
Energy of formation ... 0.559 eV per atom

Cell: 15.516 15.516 15.516 Å, 109.47 109.47 109.47°
Fractional positions:
Er  0.060  0.227  0.130
Er  0.060  0.334  0.931
Er  0.069  0.630  0.403
Er  0.069  0.940  0.666
Er  0.097  0.727  0.666
Er  0.097  0.870  0.431
Er  0.130  0.060  0.227
Er  0.130  0.569  0.903
Er  0.166  0.227  0.597
Er  0.166  0.440  0.569
Er  0.227  0.130  0.060
Er  0.227  0.597  0.166
Er  0.273  0.334  0.903
Er  0.273  0.440  0.370
Er  0.334  0.903  0.273
Er  0.334  0.931  0.060
Er  0.370  0.273  0.440
Er  0.370  0.597  0.931
Er  0.403  0.069  0.630
Er  0.403  0.834  0.773
Er  0.431  0.097  0.870
Er  0.431  0.834  0.560
Er  0.440  0.370  0.273
Er  0.440  0.569  0.166
Er  0.560  0.431  0.834
Er  0.560  0.630  0.727
Er  0.569  0.166  0.440
Er  0.569  0.903  0.130
Er  0.597  0.166  0.227
Er  0.597  0.931  0.370
Er  0.630  0.403  0.069
Er  0.630  0.727  0.560
Er  0.666  0.069  0.940
Er  0.666  0.097  0.727
Er  0.727  0.560  0.630
Er  0.727  0.666  0.097
Er  0.773  0.403  0.834
Er  0.773  0.870  0.940
Er  0.834  0.560  0.431
Er  0.834  0.773  0.403
Er  0.870  0.431  0.097
Er  0.870  0.940  0.773
Er  0.903  0.130  0.569
Er  0.903  0.273  0.334
Er  0.931  0.060  0.334
Er  0.931  0.370  0.597
Er  0.940  0.666  0.069
Er  0.940  0.773  0.870
Pu  0.125  0.250  0.375
Pu  0.125  0.375  0.750
Pu  0.250  0.375  0.125
Pu  0.250  0.875  0.625
Pu  0.375  0.125  0.250
Pu  0.375  0.750  0.125
Pu  0.625  0.250  0.875
Pu  0.625  0.875  0.750
Pu  0.750  0.125  0.375
Pu  0.750  0.625  0.875
Pu  0.875  0.625  0.250
Pu  0.875  0.750  0.625
Tl  0.000  0.000  0.000
Tl  0.000  0.000  0.500
Tl  0.000  0.500  0.000
Tl  0.000  0.500  0.500
Tl  0.125  0.750  0.875
Tl  0.125  0.875  0.250
Tl  0.250  0.125  0.875
Tl  0.250  0.625  0.375
Tl  0.375  0.250  0.625
Tl  0.375  0.625  0.750
Tl  0.500  0.000  0.000
Tl  0.500  0.000  0.500
Tl  0.500  0.500  0.000
Tl  0.500  0.500  0.500
Tl  0.625  0.375  0.250
Tl  0.625  0.750  0.375
Tl  0.750  0.375  0.625
Tl  0.750  0.875  0.125
Tl  0.875  0.125  0.750
Tl  0.875  0.250  0.125

Entry 11:
An optimized crystal structure of ZnRuBr2, computed with PBE.

Calculated values
Volume ... 25.1 A^3/atom
Formation energy (no corrections) ... 541 meV/atom
SG ... P4/mmm (123)
Energy relative to the lowest polymorph listed for this composition ... 2.35 eV/f.u.
Energy ... -2.933 eV/atom

Cell: 3.296 3.296 9.244 Å, 90.00 90.00 90.00°
Fractional positions:
Zn  0.000  0.000  0.000
Ru  0.000  0.000  0.500
Br  0.500  0.500  0.317
Br  0.500  0.500  0.683

Entry 12:
An optimized crystal structure of ZnPdNO2, computed with PBE.

Calculated values
Volume ... 11.7 A^3/atom
Formation energy (no corrections) ... 862 meV/atom
SG ... P4/mmm (123)
Energy ... -4.080 eV/atom

Cell: 3.857 3.857 3.935 Å, 90.00 90.00 90.00°
Fractional positions:
Zn  0.000  0.000  0.000
Pd  0.500  0.500  0.500
N  0.000  0.000  0.500
O  0.000  0.500  0.000
O  0.500  0.000  0.000

Entry 13:
An optimized crystal structure of La3Er4Zn, computed with PBE.

Calculated values
Volume ... 30.9 A^3/atom
SG ... P4/mmm (123)
Energy ... -4.349 eV/atom
Energy of formation ... -0.060 eV per atom

Cell: 3.607 3.607 19.005 Å, 90.00 90.00 90.00°
Fractional positions:
La  0.000  0.000  0.000
La  0.000  0.000  0.271
La  0.000  0.000  0.729
Er  0.500  0.500  0.135
Er  0.500  0.500  0.409
Er  0.500  0.500  0.591
Er  0.500  0.500  0.865
Zn  0.000  0.000  0.500

Entry 14:
An optimized crystal structure of EuZnSi, computed with PBE.

Calculated values
Volume ... 22.4 A^3/atom
Formation energy (no corrections) ... -475 meV/atom
SG ... P-6m2 (187)
Energy ... -6.132 eV/atom

Cell: 4.202 4.202 4.398 Å, 90.00 90.00 120.00°
Fractional positions:
Eu  0.000  0.000  0.000
Zn  0.667  0.333  0.500
Si  0.333  0.667  0.500

Entry 15:
An optimized crystal structure of Cu3Ru, computed with PBE.

Calculated values
Volume ... 12.7 A^3/atom
SG ... P2/m (10)
Energy ... -5.167 eV/atom
Energy of formation ... 0.224 eV per atom

Cell: 2.489 4.261 4.811 Å, 90.00 96.68 90.00°
Fractional positions:
Cu  0.000  0.000  0.000
Cu  0.178  0.500  0.753
Cu  0.822  0.500  0.247
Ru  0.500  0.000  0.500

Entry 16:
An optimized crystal structure of SrMnTe2, computed with PBE.

Calculated values
Volume ... 36.4 A^3/atom
Formation energy (no corrections) ... -777 meV/atom
SG ... Pm (6)
Energy relative to the lowest polymorph listed for this composition ... 0.20 eV/f.u.
Energy ... -5.061 eV/atom

Cell: 4.747 4.599 6.676 Å, 90.00 93.22 90.00°
Fractional positions:
Sr  0.000  0.000  0.000
Mn  0.676  0.500  0.408
Te  0.500  0.500  0.016
Te  0.963  0.000  0.503

Entry 17:
An optimized crystal structure of CsGe2Mo, computed with PBE.

Calculated values
Volume ... 24.2 A^3/atom
SG ... Fm-3m (225)
Energy relative to the lowest polymorph listed for this composition ... 3.32 eV/f.u.
Energy ... -4.095 eV/atom
Energy of formation ... 1.135 eV per atom

Cell: 5.153 5.153 5.153 Å, 60.00 60.00 60.00°
Fractional positions:
Cs  0.000  0.000  0.000
Ge  0.250  0.250  0.250
Ge  0.750  0.750  0.750
Mo  0.500  0.500  0.500

Entry 18:
An optimized crystal structure of LaPm2Sm5Th, computed with PBE.

Calculated values
Volume ... 34.5 A^3/atom
SG ... Cmc2_1 (36)
Energy ... -4.893 eV/atom
Energy of formation ... 0.157 eV per atom

Cell: 10.555 10.555 10.644 Å, 90.00 90.00 148.39°
Fractional positions:
La  0.086  0.914  0.500
La  0.914  0.086  0.000
Pm  0.385  0.615  0.372
Pm  0.385  0.615  0.783
Pm  0.615  0.385  0.283
Pm  0.615  0.385  0.872
Sm  0.021  0.979  0.790
Sm  0.114  0.886  0.077
Sm  0.205  0.795  0.758
Sm  0.223  0.777  0.370
Sm  0.484  0.516  0.077
Sm  0.516  0.484  0.577
Sm  0.777  0.223  0.870
Sm  0.795  0.205  0.258
Sm  0.886  0.114  0.577
Sm  0.979  0.021  0.290
Th  0.300  0.700  0.066
Th  0.700  0.300  0.566

Entry 19:
An optimized crystal structure of SrIrN2, computed with PBE.

Calculated values
Volume ... 19.9 A^3/atom
Formation energy (no corrections) ... 198 meV/atom
SG ... R-3m (166)
Energy relative to the lowest polymorph listed for this composition ... 1.06 eV/f.u.
Energy ... -6.601 eV/atom

Cell: 6.567 6.567 6.567 Å, 34.14 34.14 34.14°
Fractional positions:
Sr  0.000  0.000  0.000
Ir  0.500  0.500  0.500
N  0.404  0.404  0.404
N  0.596  0.596  0.596

Entry 20:
An optimized crystal structure of YZrSc2P4, computed with PBE.

Calculated values
Volume ... 19.6 A^3/atom
SG ... P2/m (10)
Energy ... -7.656 eV/atom
Energy of formation ... -1.491 eV per atom

Cell: 6.577 3.816 6.614 Å, 90.00 109.36 90.00°
Fractional positions:
Y  0.000  0.000  0.000
Zr  0.000  0.500  0.500
Sc  0.500  0.000  0.500
Sc  0.500  0.500  0.000
P  0.255  0.000  0.745
P  0.261  0.500  0.261
P  0.739  0.500  0.739
P  0.745  0.000  0.255